# 1
# KRb2PbI5 PBE-GGA optimized geometry
data_KRb2PbI5
_chemical_formula_sum 'K1 Rb2 Pb1 I5'
_cell_length_a 6.2152
_cell_length_b 6.2152
_cell_length_c 13.1055
_cell_angle_alpha 90.00
_cell_angle_beta 90.00
_cell_angle_gamma 90.00
_symmetry_space_group_name_H-M 'P 4/m m m'
_symmetry_Int_Tables_number 123
_symmetry_space_group_name_Hall '-P 4 2'
loop_
_atom_site_label
_atom_site_fract_x
_atom_site_fract_y
_atom_site_fract_z
K1 0.0000 0.0000 0.0000
Rb1 0.5000 0.5000 0.2836
Pb1 0.0000 0.0000 0.5000
I1 0.0000 0.0000 0.2546
I2 0.0000 0.5000 0.5000
I3 0.5000 0.5000 0.0000
# Volume ... 56.25 Å³ per atom
# VASP energy ... -2.743 eV per atom
# DOS at the Fermi energy ... 0.00 states/eV/f.u.
# Density ... 3.450 Mg/m³

***

# 2
# LiZr2Tl PBE-GGA optimized geometry
data_LiZr2Tl
_chemical_formula_sum 'Li2 Zr4 Tl2'
_cell_length_a 4.2846
_cell_length_b 4.2846
_cell_length_c 9.1241
_cell_angle_alpha 90.00
_cell_angle_beta 90.00
_cell_angle_gamma 90.00
_symmetry_space_group_name_H-M 'I 4/m m m'
_symmetry_Int_Tables_number 139
_symmetry_space_group_name_Hall '-I 4 2'
loop_
_atom_site_label
_atom_site_fract_x
_atom_site_fract_y
_atom_site_fract_z
Li1 0.0000 0.0000 0.0000
Zr1 0.0000 0.5000 0.2500
Tl1 0.0000 0.0000 0.5000
# Volume ... 20.94 Å³ per atom
# VASP energy ... -5.322 eV per atom
# DOS at the Fermi energy ... 4.23 states/eV/f.u.
# E_form ... 2.2 kJ/mol of atoms
# Density ... 7.808 Mg/m³